Entry 1:
DFT (PBE-GGA) results for a geometry-optimized LiCa4Hg structure.

## Properties
- energy above the most stable polymorph in this dataset (kJ per mole of atoms) = 14.2

Lattice parameters (Å, degrees): 5.3736 5.3871 7.6456 89.96 89.98 90.01
Last column: nearest neighbours and their distance in Å.
Sites, in units of the cell vectors:
1 Ca 0.5013 0.9974 0.7372  2 Hg 3.25, 2 Li 3.35
2 Ca 0.0011 0.4973 0.2593  2 Hg 3.25-3.26, 2 Li 3.35
3 Ca 0.0015 0.4973 0.7369  2 Hg 3.25-3.26, 2 Li 3.35
4 Ca 0.5013 0.9971 0.2589  2 Hg 3.25, 2 Li 3.35
5 Hg 0.0013 0.9973 0.4981  8 Ca 3.25-3.26
6 Li 0.5013 0.4973 0.9985  8 Ca 3.35

***

Entry 2:
DFT (PBE-GGA) results for a geometry-optimized CaMg2Ta structure.

Lattice parameters (Å, degrees): 8.1549 8.1549 6.5324 51.38 51.38 90.00
Last column: nearest neighbours and their distance in Å.
Sites, in units of the cell vectors:
1 Mg 0.1027 0.6250 0.2500  2 Ta 2.86, 2 Mg 3.09, 2 Ca 3.11
2 Mg 0.8750 0.8973 0.7500  2 Ta 2.86, 2 Mg 3.09, 2 Ca 3.11
3 Mg 0.6473 0.1250 0.2500  2 Ta 2.86, 2 Mg 3.09, 2 Ca 3.11
4 Mg 0.3750 0.3527 0.7500  2 Ta 2.86, 2 Mg 3.09, 2 Ca 3.11
5 Ca 0.2500 0.7500 0.5000  2 Ta 3.07, 4 Mg 3.11
6 Ca 0.5000 0.5000 0.0000  2 Ta 3.07, 4 Mg 3.11
7 Ta 0.7500 0.2500 0.5000  4 Mg 2.86, 2 Ca 3.07
8 Ta 0.0000 0.0000 0.0000  4 Mg 2.86, 2 Ca 3.07

***

Entry 3:
DFT (PBE-GGA) results for a geometry-optimized Tb2PmSm6Er3 structure.

Lattice parameters (Å, degrees): 6.2209 6.2209 11.8489 95.00 95.00 119.98
Last column: nearest neighbours and their distance in Å.
Sites, in units of the cell vectors:
1 Sm 0.4182 0.0844 0.2525  3 Er 3.55-3.56, 6 Sm 3.59-3.60, 2 Tb 3.60, 1 Pm 3.61
2 Sm 0.7507 0.7507 0.2524  3 Er 3.55-3.56, 6 Sm 3.59-3.60, 1 Pm 3.60, 2 Tb 3.60
3 Sm 0.0844 0.4182 0.2525  3 Er 3.55-3.56, 6 Sm 3.59-3.60, 2 Tb 3.60, 1 Pm 3.61
4 Sm 0.9156 0.5818 0.7475  3 Er 3.55-3.56, 6 Sm 3.59-3.60, 2 Tb 3.60, 1 Pm 3.61
5 Sm 0.5818 0.9156 0.7475  3 Er 3.55-3.56, 6 Sm 3.59-3.60, 2 Tb 3.60, 1 Pm 3.61
6 Sm 0.2493 0.2493 0.7476  3 Er 3.55-3.56, 6 Sm 3.59-3.60, 1 Pm 3.60, 2 Tb 3.60
7 Tb 0.3334 0.6666 0.0000  3 Tb 3.59, 3 Pm 3.59, 6 Sm 3.60
8 Tb 0.6666 0.3334 0.0000  3 Tb 3.59, 3 Pm 3.59, 6 Sm 3.60
9 Pm 0.0000 0.0000 0.0000  6 Tb 3.59, 6 Sm 3.60-3.61
10 Er 0.1668 0.8332 0.5000  6 Sm 3.55-3.56, 6 Er 3.59
11 Er 0.8332 0.1668 0.5000  6 Sm 3.55-3.56, 6 Er 3.59
12 Er 0.5000 0.5000 0.5000  6 Sm 3.55-3.56, 6 Er 3.59

***

no.,final energy (hartree per atom),ΔE_f (eV/atom)
1,-0.0640,-0.038
2,-0.1237,0.895
3,-0.1710,0.015